Entry 1:
Density functional theory data (PBE) for a relaxed structure of La3PaP4.

a = 4.1785 Å, b = 7.2486 Å, c = 7.2486 Å
α = 109.35°, β = 90.00°, γ = 90.00°
Atoms (fractional coordinates):
La: 0.0000 0.5000 0.0000
P: 0.0000 0.7678 0.7678
P: 0.5000 0.2385 0.7615
P: 0.5000 0.7615 0.2385
P: 0.0000 0.2322 0.2322
La: 0.5000 0.5000 0.5000
La: 0.0000 0.0000 0.5000
Pa: 0.5000 0.0000 0.0000

Computed properties:
**E_form**: -1.503 eV per atom
**Calculated total energy**: -0.5323 Ry per atom

Entry 2:
Density functional theory data (PBE) for a relaxed structure of LaPaP.

a = 5.3586 Å, b = 3.7822 Å, c = 8.4441 Å
α = 77.06°, β = 90.00°, γ = 90.00°
Atoms (fractional coordinates):
La: 0.7500 0.6695 0.6610
Pa: 0.0000 0.0000 0.0000
Pa: 0.5000 0.0000 0.0000
P: 0.7500 0.8479 0.3042
P: 0.2500 0.1521 0.6958
La: 0.2500 0.3305 0.3390

Computed properties:
**E_form**: -0.428 eV per atom
**Calculated total energy**: -0.5173 Ry per atom

Entry 3:
Density functional theory data (PBE) for a relaxed structure of La4PaP6.

a = 8.2603 Å, b = 8.2603 Å, c = 8.2603 Å
α = 91.64°, β = 91.64°, γ = 88.36°
Atoms (fractional coordinates):
La: 0.6234 0.8766 0.7500
La: 0.7500 0.7500 0.2500
P: 0.1904 0.4121 0.4283
P: 0.4121 0.5717 0.8096
P: 0.5879 0.4283 0.1904
P: 0.4283 0.8096 0.4121
P: 0.8096 0.5879 0.5717
P: 0.9283 0.0879 0.6904
P: 0.5717 0.1904 0.5879
Pa: 0.5000 0.5000 0.5000
La: 0.8766 0.2500 0.3766
La: 0.2500 0.6234 0.1234
Pa: 0.0000 0.0000 0.0000
P: 0.9121 0.6904 0.9283
La: 0.1234 0.7500 0.6234
P: 0.0717 0.9121 0.3096
P: 0.0879 0.3096 0.0717
P: 0.3096 0.9283 0.9121
P: 0.6904 0.0717 0.0879
La: 0.3766 0.1234 0.2500
La: 0.2500 0.2500 0.7500
La: 0.7500 0.3766 0.8766

Computed properties:
**E_form**: -1.288 eV per atom
**Calculated total energy**: -0.5067 Ry per atom

Entry 4:
Density functional theory data (PBE) for a relaxed structure of La3PaP4.

a = 5.9068 Å, b = 5.9068 Å, c = 7.2517 Å
α = 114.03°, β = 114.03°, γ = 90.00°
Atoms (fractional coordinates):
P: 0.2339 0.2339 0.4679
P: 0.5000 0.0000 0.0000
La: 0.2500 0.7500 0.5000
La: 0.7500 0.2500 0.5000
Pa: 0.0000 0.0000 0.0000
P: 0.0000 0.5000 0.0000
P: 0.7661 0.7661 0.5321
La: 0.5000 0.5000 0.0000

Computed properties:
**E_form**: -1.488 eV per atom
**Calculated total energy**: -0.5312 Ry per atom

Entry 5:
Density functional theory data (PBE) for a relaxed structure of La2PaP.

a = 3.6899 Å, b = 3.6899 Å, c = 10.5524 Å
α = 79.93°, β = 79.93°, γ = 60.00°
Atoms (fractional coordinates):
La: 0.1074 0.1074 0.6778
Pa: 0.0000 0.0000 0.0000
P: 0.5000 0.5000 0.5000
La: 0.8926 0.8926 0.3222

Computed properties:
**E_form**: -0.169 eV per atom
**Calculated total energy**: -0.4674 Ry per atom

Entry 6:
Density functional theory data (PBE) for a relaxed structure of La3Pm2PaP6.

a = 7.2008 Å, b = 7.2008 Å, c = 7.2370 Å
α = 99.54°, β = 99.54°, γ = 119.99°
Atoms (fractional coordinates):
La: 0.1690 0.8310 0.5000
Pa: 0.0000 0.0000 0.0000
P: 0.0784 0.3995 0.2358
P: 0.7585 0.7585 0.2364
Pm: 0.6660 0.3340 0.0000
P: 0.9216 0.6005 0.7642
P: 0.2415 0.2415 0.7636
La: 0.5000 0.5000 0.5000
P: 0.6005 0.9216 0.7642
P: 0.3995 0.0784 0.2358
Pm: 0.3340 0.6660 0.0000
La: 0.8310 0.1690 0.5000

Computed properties:
**E_form**: -1.546 eV per atom
**Calculated total energy**: -0.5194 Ry per atom

Entry 7:
Density functional theory data (PBE) for a relaxed structure of La2PmPaP4.

a = 4.1448 Å, b = 7.1592 Å, c = 7.2159 Å
α = 109.33°, β = 90.00°, γ = 90.00°
Atoms (fractional coordinates):
P: 0.0000 0.7356 0.2306
P: 0.0000 0.2644 0.7694
Pm: 0.0000 0.0000 0.0000
P: 0.5000 0.7441 0.7647
Pa: 0.5000 0.5000 0.0000
La: 0.5000 0.0000 0.5000
La: 0.0000 0.5000 0.5000
P: 0.5000 0.2559 0.2353

Computed properties:
**E_form**: -1.511 eV per atom
**Calculated total energy**: -0.5313 Ry per atom

Entry 8:
Density functional theory data (PBE) for a relaxed structure of La4PuPa3P8.

a = 8.2004 Å, b = 8.2600 Å, c = 8.2016 Å
α = 119.78°, β = 120.00°, γ = 90.00°
Atoms (fractional coordinates):
P: 0.7554 0.2724 0.5108
La: 0.5000 0.0000 0.5000
P: 0.7384 0.7276 0.9830
La: 0.0000 0.0000 0.5000
P: 0.2616 0.2724 0.0170
P: 0.2576 0.2728 0.5152
La: 0.5000 0.0000 0.0000
Pa: 0.5000 0.5000 0.5000
La: 0.0000 0.0000 0.0000
Pa: 0.0000 0.5000 0.5000
P: 0.2446 0.7276 0.4892
P: 0.7554 0.2724 0.0170
P: 0.7424 0.7272 0.4848
Pu: 0.0000 0.5000 0.0000
Pa: 0.5000 0.5000 0.0000
P: 0.2446 0.7276 0.9830

Computed properties:
**E_form**: -1.420 eV per atom
**Calculated total energy**: -0.5904 Ry per atom

Which formula does entry 4 have?
La3PaP4